# SrInAg2, relaxed, DFT PBE-GGA
# DFT total energy (eV per formula unit): -10.71
# SG: Imm2 (44)
# D(E_F) (states/eV per cell): 2.13
data_SrInAg2
_chemical_formula_sum 'Sr1 In1 Ag2'
_symmetry_space_group_name_H-M 'P 1'
_symmetry_Int_Tables_number 1
_cell_length_a 5.7863
_cell_length_b 5.7863
_cell_length_c 5.7863
_cell_angle_alpha 138.33
_cell_angle_beta 125.81
_cell_angle_gamma 70.60
loop_
_symmetry_equiv_pos_as_xyz
'x,y,z'
loop_
_atom_site_label
_atom_site_type_symbol
_atom_site_fract_x
_atom_site_fract_y
_atom_site_fract_z
Ag1 Ag 0.9699 0.9699 0.0000
Ag2 Ag 0.7552 0.2552 0.5000
In1 In 0.5276 0.5276 0.0000
Sr1 Sr 0.2473 0.7473 0.5000

---

# SrInAg3, relaxed, DFT PBE-GGA
# Relative energy among the computed polymorphs (meV per atom): 240.2
# DFT total energy (eV per formula unit): -12.80
# SG: Pm-3m (221)
# D(E_F) (states/eV per cell): 2.08
data_SrInAg3
_chemical_formula_sum 'Sr1 In1 Ag3'
_symmetry_space_group_name_H-M 'P 1'
_symmetry_Int_Tables_number 1
_cell_length_a 5.2575
_cell_length_b 5.2575
_cell_length_c 5.2575
_cell_angle_alpha 90.00
_cell_angle_beta 90.00
_cell_angle_gamma 90.00
loop_
_symmetry_equiv_pos_as_xyz
'x,y,z'
loop_
_atom_site_label
_atom_site_type_symbol
_atom_site_fract_x
_atom_site_fract_y
_atom_site_fract_z
Sr1 Sr 0.5000 0.5000 0.5000
Ag1 Ag 0.0000 0.5000 0.0000
Ag2 Ag 0.0000 0.0000 0.5000
Ag3 Ag 0.5000 0.0000 0.0000
In1 In 0.0000 0.0000 0.0000

---

# SrIn4Ag3, relaxed, DFT PBE-GGA
# DFT total energy (eV per formula unit): -22.61
# SG: P4/mmm (123)
# D(E_F) (states/eV per cell): 4.84
data_SrIn4Ag3
_chemical_formula_sum 'Sr1 In4 Ag3'
_symmetry_space_group_name_H-M 'P 1'
_symmetry_Int_Tables_number 1
_cell_length_a 4.6499
_cell_length_b 4.6499
_cell_length_c 9.5323
_cell_angle_alpha 90.00
_cell_angle_beta 90.00
_cell_angle_gamma 90.00
loop_
_symmetry_equiv_pos_as_xyz
'x,y,z'
loop_
_atom_site_label
_atom_site_type_symbol
_atom_site_fract_x
_atom_site_fract_y
_atom_site_fract_z
Sr1 Sr 0.0000 0.0000 0.5000
Ag1 Ag 0.0000 0.0000 0.0000
Ag2 Ag 0.5000 0.5000 0.3570
Ag3 Ag 0.5000 0.5000 0.6430
In1 In 0.5000 0.0000 0.1784
In2 In 0.0000 0.5000 0.1784
In3 In 0.5000 0.0000 0.8216
In4 In 0.0000 0.5000 0.8216